{
  "formula": "AlRh",
  "functional": "PBE",
  "state": "optimized geometry",
  "ef_ev_per_atom": -0.87,
  "space_group": "Cmcm",
  "volume_a3_per_cell": 57,
  "magnetic_moment_mub_per_fu": 0.00,
  "rho_g_cm3": 7.6,
  "lattice_angstrom": [[4.842, 0.008, 0.000], [-3.926, 2.834, 0.000], [0.000, 0.000, 4.133]],
  "species": ["Al", "Al", "Rh", "Rh"],
  "frac_coords": [[0.904, 0.096, 0.750], [0.096, 0.904, 0.250], [0.365, 0.635, 0.250], [0.635, 0.365, 0.750]]
}